# Zr2Co2Mo (PBE, relaxed)
data_Zr2Co2Mo
_space_group_name_H-M_alt 'P 4/m b m'
_space_group_IT_number 127
_space_group_name_Hall '-P 4 2ab'
_cell_length_a 6.378
_cell_length_b 6.378
_cell_length_c 4.053
_cell_angle_alpha 90.00
_cell_angle_beta 90.00
_cell_angle_gamma 90.00
loop_
_atom_site_label
_atom_site_fract_x
_atom_site_fract_y
_atom_site_fract_z
Zr1 0.177 0.323 0.000
Co1 0.132 0.632 0.500
Mo1 0.000 0.000 0.500
# E_tot: -0.628 Ry per atom
# Magnetization: 0.0 μB per formula unit
# Theoretical density: 7.98 g/cm3
# DOS(E_F): 2.375 states/eV/atom

# AlRe3Sb (PBE, relaxed)
data_AlRe3Sb
_space_group_name_H-M_alt 'P m -3 m'
_space_group_IT_number 221
_space_group_name_Hall '-P 4 2 3'
_cell_length_a 4.524
_cell_length_b 4.524
_cell_length_c 4.524
_cell_angle_alpha 90.00
_cell_angle_beta 90.00
_cell_angle_gamma 90.00
loop_
_atom_site_label
_atom_site_fract_x
_atom_site_fract_y
_atom_site_fract_z
Al1 0.000 0.000 0.000
Re1 0.000 0.000 0.500
Sb1 0.500 0.500 0.500
# Formation energy from raw total energies: 1727 meV per atom
# Magnetization: 2.1 μB per formula unit
# Theoretical density: 12.68 g/cm3
# DOS(E_F): 1.096 states/eV/atom

# K2BaFeS (PBE, relaxed)
data_K2BaFeS
_space_group_name_H-M_alt 'P 4/m m m'
_space_group_IT_number 123
_space_group_name_Hall '-P 4 2'
_cell_length_a 6.566
_cell_length_b 6.566
_cell_length_c 4.183
_cell_angle_alpha 90.00
_cell_angle_beta 90.00
_cell_angle_gamma 90.00
loop_
_atom_site_label
_atom_site_fract_x
_atom_site_fract_y
_atom_site_fract_z
K1 0.000 0.500 0.000
Ba1 0.000 0.000 0.500
Fe1 0.500 0.500 0.000
S1 0.500 0.500 0.500
# Formation energy from raw total energies: 255 meV per atom
# Magnetization: 0.2 μB per formula unit
# Theoretical density: 2.79 g/cm3
# DOS(E_F): 1.171 states/eV/atom